Record 1
## ZrTaTiTc2 (PBE)

Data for a relaxed ZrTaTiTc2 crystal.

Structure (POSCAR):
```
ZrTaTiTc2
1.0
4.764 0.000 0.000
0.000 4.764 0.000
0.000 0.000 4.608
Ti Tc Zr Ta
1 2 1 1
direct
0.000 0.000 0.500
0.000 0.500 0.000
0.500 0.000 0.000
0.500 0.500 0.500
0.000 0.000 0.000
```

## Properties
Calculated formation energy in eV/atom: 1.029
V in Å³ per cell: 104.6
Energy in eV/atom: -8.78
Magnetization in μB/f.u.: 0.0
Space-group type: P4/mmm

***

Record 2
## LiLuAg (PBE)

Data for a relaxed LiLuAg crystal.

Structure (POSCAR):
```
LiLuAg
1.0
-0.008 3.028 -1.561
-4.399 0.620 1.225
3.388 1.438 2.773
Lu Ag Li
1 1 1
direct
0.667 0.667 0.333
0.167 0.333 0.667
0.166 0.000 0.000
```

## Properties
Calculated formation energy in eV/atom: -0.116
V in Å³ per cell: 62.6
Energy in eV/atom: -3.21
Magnetization in μB/f.u.: 0.0
Energy above the lowest structure with this stoichiometry in meV/atom: 53
Space-group type: P-6m2